A relaxed Mn2Au2Cl7 crystal, computed with PBE.

Results
Crystal system: monoclinic
Spin magnetization: 9.00 μB/f.u.
Formation energy from raw total energies: -633 meV/atom

a b c (Å): 7.3917 7.3917 7.5964
angles (deg): 92.82 92.82 64.77
Sites, in units of the cell vectors:
Mn1 0.1536 0.1536 0.1905
Mn2 0.8464 0.8464 0.8095
Au1 0.2522 0.7478 0.5000
Au2 0.7478 0.2522 0.5000
Cl1 0.0000 0.0000 0.0000
Cl2 0.1283 0.5942 0.6849
Cl3 0.3247 0.3247 0.1390
Cl4 0.4058 0.8717 0.3151
Cl5 0.5942 0.1283 0.6849
Cl6 0.6753 0.6753 0.8610
Cl7 0.8717 0.4058 0.3151


A relaxed Sr3LiSn3 crystal, computed with PBE.

Results
Crystal system: monoclinic
Formation enthalpy at 0 K: -0.631 eV/atom
Spin magnetization: 0.00 μB/f.u.

a b c (Å): 6.5049 6.5049 16.1731
angles (deg): 108.54 108.54 45.02
Sites, in units of the cell vectors:
Sr1 0.0408 0.0408 0.3859
Sr2 0.0983 0.0983 0.9196
Sr3 0.2438 0.2438 0.2277
Sr4 0.7562 0.7562 0.7723
Sr5 0.9017 0.9017 0.0804
Sr6 0.9592 0.9592 0.6141
Li1 0.2560 0.2560 0.5957
Li2 0.7440 0.7440 0.4043
Sn1 0.3717 0.3717 0.4515
Sn2 0.3884 0.3884 0.9244
Sn3 0.4608 0.4608 0.7652
Sn4 0.5392 0.5392 0.2348
Sn5 0.6116 0.6116 0.0756
Sn6 0.6283 0.6283 0.5485


A relaxed BaSc3Al crystal, computed with PBE.

Results
Crystal system: cubic
Formation enthalpy at 0 K: 1.292 eV/atom
Spin magnetization: 0.00 μB/f.u.
Offset from the most stable computed form: 1004 meV per atom

a b c (Å): 5.2768 5.2768 5.2768
angles (deg): 90.00 90.00 90.00
Sites, in units of the cell vectors:
Ba1 0.0000 0.0000 0.0000
Sc1 0.0000 0.0000 0.5000
Sc2 0.0000 0.5000 0.0000
Sc3 0.5000 0.0000 0.0000
Al1 0.5000 0.5000 0.5000


A relaxed Y3Ga4Ru2 crystal, computed with PBE.

Results
Crystal system: monoclinic
Formation enthalpy at 0 K: -0.568 eV/atom
Spin magnetization: 0.00 μB/f.u.
Offset from the most stable computed form: 27 meV per atom

a b c (Å): 5.6360 5.6360 8.3338
angles (deg): 103.73 103.73 45.32
Sites, in units of the cell vectors:
Y1 0.0000 0.0000 0.0000
Y2 0.3812 0.3812 0.6223
Y3 0.6188 0.6188 0.3777
Ga1 0.0957 0.0957 0.6500
Ga2 0.2987 0.2987 0.9401
Ga3 0.7013 0.7013 0.0599
Ga4 0.9043 0.9043 0.3500
Ru1 0.2883 0.2883 0.2416
Ru2 0.7117 0.7117 0.7584


Question: Among the records above, which one has the highest spin magnetization?
Answer: Mn2Au2Cl7


Question: The highest spin magnetization belongs to which entry?
Answer: Mn2Au2Cl7


Question: The highest spin magnetization belongs to which entry?
Answer: Mn2Au2Cl7


Question: spin magnetization of number 1 (Mn2Au2Cl7)?
Answer: 9.00 μB/f.u.